No. 1
The following is a DFT calculation (PBE) of an optimized crystal structure of Co2IrRu.

Summary:
Calculated formation energy (eV/atom): 0.0978
Crystal system: orthorhombic

Unit cell a=3.960 b=2.642 c=9.617 alpha=90.00 beta=90.00 gamma=90.00
Space group Amm2 (No. 38)
Inequivalent atoms, fractional coordinates:
Co1 0.000 0.000 0.000 (multiplicity 2)
Co2 0.500 0.000 0.127 (multiplicity 2)
Ir1 0.000 0.000 0.739 (multiplicity 2)
Ru1 0.500 0.000 0.389 (multiplicity 2)


No. 2
The following is a DFT calculation (PBE) of an optimized crystal structure of CoIr2Ru.

Summary:
Calculated formation energy (eV/atom): 0.1023
Crystal system: trigonal

Unit cell a=2.7055 b=2.7055 c=25.9206 alpha=90.00 beta=90.00 gamma=120.00
Space group R3m (No. 160, hexagonal axes)
Inequivalent atoms, fractional coordinates:
Co1 0.0000 0.0000 0.0000 (multiplicity 3)
Ir1 0.0000 0.0000 0.5015 (multiplicity 3)
Ir2 0.0000 0.0000 0.7469 (multiplicity 3)
Ru1 0.0000 0.0000 0.2531 (multiplicity 3)


Total moment per entry: 2.89, 2.08 μB/f.u.